1.
Below is a relaxed structure of Rb3Pu3TiS8, with properties calculated at the PBE level.

Results
uncorrected energy: -7.292 eV/atom
D(E_F): 1.81 states/eV per atom

Unit cell a=9.052 b=9.052 c=9.052 alpha=52.07 beta=52.07 gamma=52.07
Element x y z (fractional)
Rb1 0.000 0.500 0.500
Rb2 0.500 0.000 0.500
Rb3 0.500 0.500 0.000
Pu1 0.000 0.000 0.500
Pu2 0.000 0.500 0.000
Pu3 0.500 0.000 0.000
Ti1 0.500 0.500 0.500
S1 0.231 0.231 0.231
S2 0.251 0.713 0.713
S3 0.287 0.287 0.749
S4 0.287 0.749 0.287
S5 0.713 0.251 0.713
S6 0.713 0.713 0.251
S7 0.749 0.287 0.287
S8 0.769 0.769 0.769

2.
Below is a relaxed structure of Rb2PuTiS5, with properties calculated at the PBE level.

Results
uncorrected energy: -6.278 eV/atom
D(E_F): 0.89 states/eV per atom

Unit cell a=9.628 b=9.628 c=14.320 alpha=90.00 beta=90.00 gamma=155.42
Element x y z (fractional)
Rb1 0.118 0.882 0.500
Rb2 0.137 0.863 0.151
Rb3 0.863 0.137 0.651
Rb4 0.882 0.118 0.000
Pu1 0.199 0.801 0.853
Pu2 0.801 0.199 0.353
Ti1 0.441 0.559 0.250
Ti2 0.559 0.441 0.750
S1 0.045 0.955 0.833
S2 0.302 0.698 0.470
S3 0.322 0.678 0.219
S4 0.330 0.670 0.830
S5 0.496 0.504 0.118
S6 0.504 0.496 0.618
S7 0.670 0.330 0.330
S8 0.678 0.322 0.719
S9 0.698 0.302 0.970
S10 0.955 0.045 0.333

3.
Below is a relaxed structure of Rb2PuTiS4, with properties calculated at the PBE level.

Results
uncorrected energy: -6.374 eV/atom
D(E_F): 2.24 states/eV per atom

Unit cell a=7.356 b=7.356 c=9.922 alpha=90.00 beta=90.00 gamma=90.00
Element x y z (fractional)
Rb1 0.000 0.000 0.000
Rb2 0.000 0.500 0.250
Rb3 0.500 0.000 0.750
Rb4 0.500 0.500 0.500
Pu1 0.000 0.000 0.500
Pu2 0.500 0.500 0.000
Ti1 0.000 0.500 0.750
Ti2 0.500 0.000 0.250
S1 0.155 0.720 0.629
S2 0.220 0.345 0.871
S3 0.280 0.155 0.371
S4 0.345 0.780 0.129
S5 0.655 0.220 0.129
S6 0.720 0.845 0.371
S7 0.780 0.655 0.871
S8 0.845 0.280 0.629